(1)
Below is a relaxed structure of Dy6HoSc3, with properties calculated at the PBE-GGA level.

## Properties
DFT total energy: -0.183 Ha/atom
formation energy: 0.129 eV per atom

Cell lengths 6.214, 11.199, 11.199 Å; angles 130.51, 90.00, 90.00 degrees
Positions (direct):
Dy1 0.824 0.541 0.104
Dy2 0.324 0.459 0.896
Sc1 0.986 0.706 0.959
Dy3 0.082 0.377 0.263
Ho1 0.014 0.158 0.842
Dy4 0.792 0.302 0.698
Dy5 0.292 0.698 0.302
Dy6 0.291 0.985 0.015
Sc2 0.986 0.041 0.294
Sc3 0.103 0.417 0.583
Dy7 0.324 0.104 0.541
Dy8 0.582 0.623 0.737
Dy9 0.791 0.015 0.985
Sc4 0.486 0.294 0.041
Sc5 0.603 0.583 0.417
Dy10 0.082 0.737 0.623
Ho2 0.514 0.842 0.158
Dy11 0.582 0.263 0.377
Dy12 0.824 0.896 0.459
Sc6 0.486 0.959 0.706

---

(2)
Below is a relaxed structure of In4Si23, with properties calculated at the PBE-GGA level.

## Properties
DFT total energy: -0.181 Ha/atom
raw formation energy: 0.100 eV/atom

Cell lengths 10.237, 10.237, 10.237 Å; angles 90.00, 90.00, 90.00 degrees
Positions (direct):
Si1 0.192 0.500 0.618
Si2 0.684 0.684 0.684
Si3 0.684 0.316 0.316
In1 0.500 0.000 0.250
Si4 0.000 0.308 0.118
Si5 0.816 0.816 0.816
Si6 0.250 0.000 0.500
In2 0.750 0.500 0.000
Si7 0.618 0.808 0.500
In3 0.000 0.000 0.000
Si8 0.316 0.316 0.316
Si9 0.882 0.000 0.692
Si10 0.184 0.184 0.816
Si11 0.882 0.000 0.308
Si12 0.500 0.382 0.192
Si13 0.808 0.500 0.382
Si14 0.684 0.316 0.684
Si15 0.316 0.684 0.684
Si16 0.500 0.618 0.192
Si17 0.500 0.382 0.808
In4 0.500 0.000 0.750
Si18 0.000 0.692 0.118
Si19 0.500 0.750 0.000
Si20 0.192 0.500 0.382
Si21 0.184 0.816 0.816
Si22 0.000 0.500 0.250
In5 0.250 0.500 0.000
In6 0.000 0.250 0.500
Si23 0.500 0.250 0.000
Si24 0.308 0.118 0.000
Si25 0.184 0.184 0.184
Si26 0.808 0.500 0.618
In7 0.500 0.500 0.500
Si27 0.000 0.308 0.882
Si28 0.184 0.816 0.184
Si29 0.316 0.316 0.684
Si30 0.000 0.692 0.882
Si31 0.618 0.192 0.500
Si32 0.118 0.000 0.692
Si33 0.816 0.184 0.816
Si34 0.692 0.118 0.000
Si35 0.118 0.000 0.308
Si36 0.382 0.192 0.500
Si37 0.684 0.684 0.316
Si38 0.500 0.618 0.808
Si39 0.000 0.500 0.750
Si40 0.316 0.684 0.316
Si41 0.816 0.184 0.184
Si42 0.692 0.882 0.000
Si43 0.816 0.816 0.184
Si44 0.750 0.000 0.500
Si45 0.382 0.808 0.500
Si46 0.308 0.882 0.000
In8 0.000 0.750 0.500

---

(3)
Below is a relaxed structure of TaW2N, with properties calculated at the PBE-GGA level.

## Properties
DFT total energy: -0.434 Ha/atom
raw formation energy: -0.282 eV/atom

Cell lengths 7.455, 3.112, 4.796 Å; angles 90.00, 100.17, 90.00 degrees
Positions (direct):
Ta1 0.009 0.500 0.752
N1 0.810 0.000 0.853
W1 0.322 0.000 0.855
N2 0.810 0.500 0.353
W2 0.624 0.000 0.464
Ta2 0.009 0.000 0.252
W3 0.322 0.500 0.355
W4 0.624 0.500 0.964

---

(4)
Below is a relaxed structure of TaSb2Au, with properties calculated at the PBE-GGA level.

## Properties
DFT total energy: -0.203 Ha/atom
raw formation energy: 0.330 eV/atom

Cell lengths 5.779, 5.779, 5.779 Å; angles 138.07, 138.07, 60.80 degrees
Positions (direct):
Au1 0.750 0.250 0.500
Ta1 0.500 0.500 0.000
Sb1 0.000 0.000 0.000
Sb2 0.250 0.750 0.500

---

(5)
Below is a relaxed structure of CeHo3Sb3, with properties calculated at the PBE-GGA level.

## Properties
DFT total energy: -0.197 Ha/atom
raw formation energy: -0.776 eV/atom

Cell lengths 5.694, 9.053, 9.053 Å; angles 120.00, 90.00, 90.00 degrees
Last column: magnetic moment on the atom in μB.
Positions (direct):
Ho1 0.750 0.235 0.250  0.14
Ho2 0.250 0.765 0.750  0.14
Sb1 0.250 0.060 0.635  -0.02
Sb2 0.750 0.425 0.060  -0.02
Ho3 0.750 0.750 0.984  0.14
Sb3 0.250 0.365 0.425  -0.02
Sb4 0.250 0.575 0.940  -0.02
Ho4 0.250 0.984 0.235  0.14
Ho5 0.750 0.016 0.765  0.14
Sb5 0.750 0.635 0.575  -0.02
Ho6 0.250 0.250 0.016  0.14
Ce1 0.750 0.333 0.667  1.10
Ce2 0.250 0.667 0.333  1.10
Sb6 0.750 0.940 0.365  -0.02

---

(6)
Below is a relaxed structure of Ti2BI2, with properties calculated at the PBE-GGA level.

## Properties
DFT total energy: -0.151 Ha/atom
raw formation energy: 1.015 eV/atom

Cell lengths 7.828, 7.828, 3.377 Å; angles 90.00, 90.00, 90.00 degrees
Positions (direct):
Ti1 0.848 0.348 0.500
Ti2 0.348 0.152 0.500
I1 0.352 0.852 0.000
I2 0.852 0.648 0.000
B1 0.500 0.500 0.000
B2 0.000 0.000 0.000
I3 0.648 0.148 0.000
Ti3 0.152 0.652 0.500
I4 0.148 0.352 0.000
Ti4 0.652 0.848 0.500

---

(7)
Below is a relaxed structure of ZrGeMo2, with properties calculated at the PBE-GGA level.

## Properties
DFT total energy: -0.303 Ha/atom
formation energy: 0.460 eV per atom

Cell lengths 7.576, 7.576, 5.970 Å; angles 50.62, 50.62, 90.00 degrees
Positions (direct):
Mo1 0.375 0.432 0.750
Mo2 0.875 0.818 0.750
Zr1 0.000 0.000 0.000
Mo3 0.182 0.625 0.250
Zr2 0.750 0.250 0.500
Ge1 0.500 0.500 0.000
Mo4 0.568 0.125 0.250
Ge2 0.250 0.750 0.500

---

(8)
Below is a relaxed structure of CsNpNiTe3, with properties calculated at the PBE-GGA level.

## Properties
DFT total energy: -0.202 Ha/atom
raw formation energy: -0.650 eV/atom

Cell lengths 4.312, 10.482, 10.650 Å; angles 114.06, 90.00, 90.00 degrees
Last column: magnetic moment on the atom in μB.
Positions (direct):
Np1 0.250 0.683 0.155  3.63
Cs1 0.250 0.213 0.248  -0.01
Ni1 0.750 0.916 0.404  -0.36
Ni2 0.250 0.084 0.596  -0.36
Te1 0.750 0.179 0.535  -0.08
Te2 0.750 0.475 0.163  -0.12
Cs2 0.750 0.787 0.752  -0.01
Np2 0.750 0.317 0.845  3.63
Te3 0.250 0.821 0.465  -0.08
Te4 0.250 0.525 0.837  -0.12
Te5 0.250 0.119 0.854  -0.12
Te6 0.750 0.881 0.146  -0.12

---

(9)
Below is a relaxed structure of NaTbTm2S4, with properties calculated at the PBE-GGA level.

## Properties
DFT total energy: -0.214 Ha/atom
raw formation energy: -1.906 eV/atom

Cell lengths 3.871, 6.770, 6.786 Å; angles 108.99, 90.00, 90.00 degrees
Positions (direct):
S1 0.000 0.244 0.739
Na1 0.500 0.500 0.000
S2 0.500 0.747 0.743
Tb1 0.000 0.000 0.000
S3 0.000 0.756 0.261
Tm1 0.500 0.000 0.500
S4 0.500 0.253 0.257
Tm2 0.000 0.500 0.500

---

(10)
Below is a relaxed structure of HAuSeN, with properties calculated at the PBE-GGA level.

## Properties
DFT total energy: -0.143 Ha/atom

Cell lengths 3.871, 4.048, 4.546 Å; angles 81.84, 80.52, 67.91 degrees
Positions (direct):
Au1 0.357 0.897 0.567
H1 0.578 0.004 0.837
Se1 0.852 0.136 0.009
N1 0.925 0.822 0.341

---

(11)
Below is a relaxed structure of LiMgHRh2, with properties calculated at the PBE-GGA level.

## Properties
DFT total energy: -0.170 Ha/atom

Cell lengths 3.917, 3.917, 3.897 Å; angles 90.00, 90.00, 90.00 degrees
Positions (direct):
Mg1 0.500 0.500 0.500
Li1 0.000 0.000 0.500
Rh1 0.500 0.000 0.000
Rh2 0.000 0.500 0.000
H1 0.000 0.000 0.000

---

(12)
Below is a relaxed structure of MgMnMo2, with properties calculated at the PBE-GGA level.

## Properties
DFT total energy: -0.290 Ha/atom
formation energy: 0.225 eV per atom

Cell lengths 5.218, 5.218, 4.411 Å; angles 64.97, 64.97, 34.08 degrees
Last column: magnetic moment on the atom in μB.
Positions (direct):
Mn1 0.250 0.250 0.250  1.38
Mg1 0.750 0.750 0.750  -0.01
Mo1 0.518 0.518 0.482  -0.18
Mo2 0.982 0.982 0.018  -0.18